The following is a DFT calculation (PBE) of an optimized crystal structure of Mg3Si4.

Cell: 3.712 7.530 9.868 Å, 76.91 90.00 90.00°
Fractional coordinates of all 14 atoms:
Si 0.000 0.880 0.487
Si 0.500 0.175 0.146
Si 0.000 0.986 0.238
Si 0.000 0.550 0.008
Si 0.000 0.555 0.572
Si 0.000 0.856 0.851
Si 0.500 0.353 0.631
Si 0.500 0.485 0.169
Mg 0.500 0.687 0.362
Mg 0.500 0.863 0.049
Mg 0.000 0.286 0.397
Mg 0.000 0.222 0.895
Mg 0.500 0.602 0.792
Mg 0.500 0.000 0.648

Results
The value obtained for the formation energy (no corrections) is 84 meV per atom. As for the volume: 19.19 Å³ per atom. As for the symmetry: Pm. The value obtained for the offset from the most stable computed form is 0.032 eV/atom. The value obtained for the total moment is 0.0 μB/f.u.



The following is a DFT calculation (PBE) of an optimized crystal structure of CaPr5Y.

Cell: 5.808 5.808 7.980 Å, 90.00 90.00 90.00°
Fractional coordinates of all 7 atoms:
Pr 0.500 0.500 0.500
Pr 0.000 0.500 0.217
Pr 0.000 0.500 0.783
Pr 0.500 0.000 0.217
Pr 0.500 0.000 0.783
Ca 0.000 0.000 0.500
Y 0.500 0.500 0.000

Results
As for the volume: 38.45 Å³ per atom. As for the symmetry: P4/mmm. The value obtained for the total moment is 0.0 μB/f.u. Its formation energy is 0.27 eV/atom.



The following is a DFT calculation (PBE) of an optimized crystal structure of ZrBeIn.

Cell: 4.306 4.306 4.306 Å, 60.00 60.00 60.00°
Fractional coordinates of all 3 atoms:
Be 0.250 0.250 0.250
Zr 0.500 0.500 0.500
In 0.000 0.000 0.000

Results
As for the volume: 18.82 Å³ per atom. As for the symmetry: F-43m. The value obtained for the offset from the most stable computed form is 0.142 eV/atom. The value obtained for the total moment is 0.0 μB/f.u. Its formation energy is -0.05 eV/atom.



The following is a DFT calculation (PBE) of an optimized crystal structure of Ho6Tl3Tc.

Cell: 7.428 6.741 6.741 Å, 63.08 79.01 79.01°
Fractional coordinates of all 10 atoms:
Tl 0.000 0.000 0.000
Tl 0.266 0.173 0.173
Tl 0.734 0.827 0.827
Ho 0.155 0.663 0.663
Ho 0.653 0.356 0.869
Ho 0.653 0.869 0.356
Ho 0.347 0.131 0.644
Ho 0.347 0.644 0.131
Ho 0.845 0.337 0.337
Tc 0.500 0.500 0.500

Results
As for the volume: 29.34 Å³ per atom. As for the symmetry: C2/m. The value obtained for the total moment is 0.0 μB/f.u. Its formation energy is -0.07 eV/atom.



The following is a DFT calculation (PBE) of an optimized crystal structure of NdCd2Hg4.

Cell: 5.038 5.038 8.757 Å, 73.28 73.28 60.00°
Fractional coordinates of all 7 atoms:
Hg 0.389 0.389 0.832
Hg 0.611 0.611 0.168
Hg 0.866 0.866 0.402
Hg 0.134 0.134 0.598
Cd 0.253 0.253 0.240
Cd 0.747 0.747 0.760
Nd 0.000 0.000 0.000

Results
As for the volume: 25.94 Å³ per atom. As for the symmetry: R-3m. The value obtained for the offset from the most stable computed form is 0.000 eV/atom. The value obtained for the total moment is 0.0 μB/f.u. Its formation energy is -0.21 eV/atom.



The following is a DFT calculation (PBE) of an optimized crystal structure of ScV2IrAu.

Cell: 4.604 5.140 4.604 Å, 90.00 90.00 90.00°
Fractional coordinates of all 5 atoms:
Ir 0.000 0.000 0.000
V 0.000 0.000 0.500
V 0.500 0.000 0.000
Au 0.000 0.500 0.000
Sc 0.500 0.500 0.500

Results
As for the volume: 21.79 Å³ per atom. As for the symmetry: P4/mmm. The value obtained for the total moment is 4.0 μB/f.u. Its formation energy is 0.58 eV/atom.



The following is a DFT calculation (PBE) of an optimized crystal structure of PrPu2NpAs4.

Cell: 4.171 7.241 7.215 Å, 109.37 90.00 90.00°
Fractional coordinates of all 8 atoms:
Pu 0.500 0.000 0.500
Pu 0.000 0.500 0.500
Np 0.000 0.000 0.000
As 0.500 0.244 0.253
As 0.000 0.761 0.258
As 0.500 0.756 0.747
As 0.000 0.239 0.742
Pr 0.500 0.500 0.000

Results
As for the volume: 25.70 Å³ per atom. As for the symmetry: P2/m. The value obtained for the total moment is 6.5 μB/f.u. Its formation energy is -1.02 eV/atom.



The following is a DFT calculation (PBE) of an optimized crystal structure of TbCe2Pr.

Cell: 3.503 3.503 10.282 Å, 90.00 90.00 90.00°
Fractional coordinates of all 4 atoms:
Ce 0.000 0.000 0.246
Ce 0.000 0.000 0.754
Tb 0.500 0.500 0.000
Pr 0.500 0.500 0.500

Results
As for the volume: 31.54 Å³ per atom. As for the symmetry: P4/mmm. The value obtained for the offset from the most stable computed form is 0.013 eV/atom. The value obtained for the total moment is 1.6 μB/f.u. Its formation energy is 0.12 eV/atom.



The following is a DFT calculation (PBE) of an optimized crystal structure of Sc3BiRh.

Cell: 5.324 5.324 5.324 Å, 90.00 90.00 90.00°
Fractional coordinates of all 5 atoms:
Rh 0.500 0.500 0.500
Sc 0.000 0.500 0.000
Sc 0.500 0.000 0.000
Sc 0.000 0.000 0.500
Bi 0.000 0.000 0.000

Results
As for the volume: 30.18 Å³ per atom. As for the symmetry: Pm-3m. The value obtained for the offset from the most stable computed form is 1.204 eV/atom. The value obtained for the total moment is 1.3 μB/f.u. Its formation energy is 0.77 eV/atom.



The following is a DFT calculation (PBE) of an optimized crystal structure of Ba2CrOs.

Cell: 3.707 3.706 9.056 Å, 90.00 90.00 90.00°
Fractional coordinates of all 4 atoms:
Os 0.500 0.500 0.750
Ba 0.000 0.000 0.959
Ba 0.000 0.000 0.541
Cr 0.500 0.500 0.250

Results
As for the volume: 31.10 Å³ per atom. As for the symmetry: P4/mmm. The value obtained for the offset from the most stable computed form is 0.668 eV/atom. The value obtained for the total moment is 5.3 μB/f.u. Its formation energy is 1.05 eV/atom.



The following is a DFT calculation (PBE) of an optimized crystal structure of Re2NiAs.

Cell: 4.665 4.665 4.665 Å, 131.37 131.37 71.23°
Fractional coordinates of all 4 atoms:
As 0.500 0.500 0.000
Re 0.000 0.000 0.000
Re 0.250 0.750 0.500
Ni 0.750 0.250 0.500

Results
As for the volume: 13.99 Å³ per atom. As for the symmetry: I-4m2. The value obtained for the total moment is 0.0 μB/f.u. Its formation energy is 0.30 eV/atom.



The following is a DFT calculation (PBE) of an optimized crystal structure of KRuPt2.

Cell: 4.701 4.701 4.701 Å, 60.00 60.00 60.00°
Fractional coordinates of all 4 atoms:
Pt 0.750 0.750 0.750
Pt 0.250 0.250 0.250
Ru 0.500 0.500 0.500
K 0.000 0.000 0.000

Results
As for the volume: 18.36 Å³ per atom. As for the symmetry: Fm-3m. The value obtained for the offset from the most stable computed form is 0.683 eV/atom. The value obtained for the total moment is 2.8 μB/f.u. Its formation energy is 0.83 eV/atom.



The following is a DFT calculation (PBE) of an optimized crystal structure of NaY2OsO8.

Cell: 4.977 4.551 7.246 Å, 84.86 89.48 92.37°
Fractional coordinates of all 12 atoms:
Os 0.000 0.000 0.000
Na 0.000 0.000 0.500
O 0.312 0.244 0.037
O 0.092 0.736 0.204
O 0.187 0.799 0.836
O 0.813 0.201 0.164
O 0.466 0.232 0.496
O 0.908 0.264 0.796
O 0.534 0.768 0.504
O 0.688 0.756 0.963
Y 0.513 0.545 0.243
Y 0.487 0.455 0.757

Results
The value obtained for the formation energy (no corrections) is -1917 meV per atom. As for the volume: 13.61 Å³ per atom. As for the symmetry: P-1. The value obtained for the total moment is 0.0 μB/f.u.



The following is a DFT calculation (PBE) of an optimized crystal structure of BaHSeBr2.

Cell: 5.608 5.608 3.931 Å, 90.00 90.00 90.00°
Fractional coordinates of all 5 atoms:
Ba 0.500 0.500 0.500
Br 0.500 0.000 0.000
Br 0.000 0.500 0.000
Se 0.000 0.000 0.500
H 0.000 0.000 0.000

Results
As for the volume: 24.73 Å³ per atom. As for the symmetry: P4/mmm. The value obtained for the offset from the most stable computed form is 0.000 eV/atom. The value obtained for the total moment is 0.6 μB/f.u.



The following is a DFT calculation (PBE) of an optimized crystal structure of ReIrAu2.

Cell: 4.528 4.528 4.528 Å, 60.00 60.00 60.00°
Fractional coordinates of all 4 atoms:
Au 0.250 0.250 0.250
Au 0.000 0.000 0.000
Re 0.750 0.750 0.750
Ir 0.500 0.500 0.500

Results
As for the volume: 16.41 Å³ per atom. As for the symmetry: F-43m. The value obtained for the offset from the most stable computed form is 0.523 eV/atom. The value obtained for the total moment is 0.0 μB/f.u. Its formation energy is 0.64 eV/atom.



The following is a DFT calculation (PBE) of an optimized crystal structure of Er2ZnSe4.

Cell: 8.107 8.107 8.110 Å, 59.98 59.98 89.97°
Fractional coordinates of all 14 atoms:
Se 0.252 0.757 0.995
Se 0.252 0.248 0.995
Se 0.748 0.752 0.495
Se 0.748 0.752 0.005
Se 0.252 0.248 0.505
Se 0.748 0.243 0.005
Se 0.257 0.752 0.495
Se 0.743 0.248 0.505
Er 0.500 0.500 0.500
Er 0.000 0.000 0.000
Er 0.500 0.000 0.000
Er 0.500 0.000 0.500
Zn 0.875 0.625 0.750
Zn 0.125 0.375 0.250

Results
The value obtained for the formation energy (no corrections) is -1507 meV per atom. As for the volume: 26.91 Å³ per atom. As for the symmetry: Fd-3m. The value obtained for the total moment is 0.0 μB/f.u.



The following is a DFT calculation (PBE) of an optimized crystal structure of NaCa2TlCu.

Cell: 5.883 5.883 5.184 Å, 90.00 90.00 90.00°
Fractional coordinates of all 5 atoms:
Ca 0.000 0.500 0.000
Ca 0.500 0.000 0.000
Na 0.000 0.000 0.000
Tl 0.000 0.000 0.500
Cu 0.500 0.500 0.500

Results
As for the volume: 35.88 Å³ per atom. As for the symmetry: P4/mmm. The value obtained for the offset from the most stable computed form is 0.688 eV/atom. The value obtained for the total moment is 0.0 μB/f.u. Its formation energy is 0.67 eV/atom.



The following is a DFT calculation (PBE) of an optimized crystal structure of Mn2TlHgI8.

Cell: 7.770 8.859 7.869 Å, 88.63 94.79 96.30°
Fractional coordinates of all 12 atoms:
Mn 0.429 0.547 0.744
Mn 0.571 0.453 0.256
Hg 0.000 0.000 0.000
I 0.855 0.312 0.298
I 0.605 0.700 0.480
I 0.145 0.688 0.702
I 0.307 0.361 0.009
I 0.395 0.300 0.520
I 0.693 0.639 0.991
I 0.249 0.885 0.195
I 0.751 0.115 0.805
Tl 0.000 0.000 0.500

Results
The value obtained for the formation energy (no corrections) is -344 meV per atom. As for the volume: 44.71 Å³ per atom. As for the symmetry: P-1. The value obtained for the total moment is 9.0 μB/f.u.



The following is a DFT calculation (PBE) of an optimized crystal structure of Tm3Ga2Cu.

Cell: 4.303 10.849 11.473 Å, 90.00 90.00 90.00°
Fractional coordinates of all 24 atoms:
Tm 0.750 0.929 0.128
Tm 0.250 0.131 0.550
Tm 0.750 0.191 0.283
Tm 0.750 0.571 0.628
Tm 0.750 0.631 0.950
Tm 0.250 0.429 0.372
Tm 0.750 0.309 0.783
Tm 0.750 0.869 0.450
Tm 0.250 0.809 0.717
Tm 0.250 0.691 0.217
Tm 0.250 0.071 0.872
Tm 0.250 0.369 0.050
Ga 0.750 0.180 0.017
Ga 0.250 0.988 0.313
Ga 0.250 0.820 0.983
Ga 0.250 0.680 0.483
Ga 0.750 0.012 0.687
Ga 0.750 0.488 0.187
Ga 0.250 0.512 0.813
Ga 0.750 0.320 0.517
Cu 0.250 0.386 0.624
Cu 0.750 0.886 0.876
Cu 0.750 0.614 0.376
Cu 0.250 0.114 0.124

Results
As for the volume: 22.32 Å³ per atom. As for the symmetry: Pnma. The value obtained for the offset from the most stable computed form is 0.000 eV/atom. The value obtained for the total moment is 0.0 μB/f.u. Its formation energy is -0.48 eV/atom.



The following is a DFT calculation (PBE) of an optimized crystal structure of BeRe4Os.

Cell: 5.100 5.100 5.100 Å, 60.00 60.00 60.00°
Fractional coordinates of all 6 atoms:
Re 0.624 0.129 0.624
Re 0.624 0.624 0.624
Re 0.129 0.624 0.624
Re 0.624 0.624 0.129
Os 0.000 0.000 0.000
Be 0.250 0.250 0.250

Results
As for the volume: 15.64 Å³ per atom. As for the symmetry: F-43m. The value obtained for the total moment is 0.0 μB/f.u. Its formation energy is 0.71 eV/atom.



The following is a DFT calculation (PBE) of an optimized crystal structure of BRu2O.

Cell: 4.747 4.747 5.603 Å, 64.93 64.93 90.00°
Fractional coordinates of all 8 atoms:
B 0.500 0.500 0.000
B 0.250 0.750 0.500
Ru 0.375 0.373 0.750
Ru 0.627 0.125 0.250
Ru 0.123 0.625 0.250
Ru 0.875 0.877 0.750
O 0.750 0.250 0.500
O 0.000 0.000 0.000

Results
The value obtained for the formation energy (no corrections) is 71 meV per atom. As for the volume: 12.64 Å³ per atom. As for the symmetry: I-42d. The value obtained for the offset from the most stable computed form is 0.000 eV/atom. The value obtained for the total moment is 0.0 μB/f.u.



The following is a DFT calculation (PBE) of an optimized crystal structure of PrNdAlO4.

Cell: 3.740 3.740 6.826 Å, 105.90 105.90 90.00°
Fractional coordinates of all 7 atoms:
O 0.499 0.999 0.999
O 0.841 0.841 0.683
O 0.160 0.160 0.319
O 0.999 0.499 0.999
Al 0.000 0.000 0.999
Nd 0.352 0.352 0.704
Pr 0.649 0.649 0.298

Results
The value obtained for the formation energy (no corrections) is -3007 meV per atom. As for the volume: 12.58 Å³ per atom. As for the symmetry: I4mm. The value obtained for the total moment is 0.1 μB/f.u.



The following is a DFT calculation (PBE) of an optimized crystal structure of CsAg2BiO.

Cell: 5.675 4.577 5.675 Å, 90.00 90.00 90.00°
Fractional coordinates of all 5 atoms:
Ag 0.000 0.000 0.500
Ag 0.500 0.000 0.000
O 0.000 0.500 0.000
Cs 0.500 0.500 0.500
Bi 0.000 0.000 0.000

Results
The value obtained for the formation energy (no corrections) is -115 meV per atom. As for the volume: 29.48 Å³ per atom. As for the symmetry: P4/mmm. The value obtained for the total moment is 0.0 μB/f.u.



The following is a DFT calculation (PBE) of an optimized crystal structure of CrP2HS.

Cell: 4.428 4.428 4.303 Å, 90.00 90.00 90.00°
Fractional coordinates of all 5 atoms:
P 0.000 0.500 0.000
P 0.500 0.000 0.000
S 0.000 0.000 0.500
H 0.500 0.500 0.500
Cr 0.000 0.000 0.000

Results
As for the volume: 16.87 Å³ per atom. As for the symmetry: P4/mmm. The value obtained for the offset from the most stable computed form is 0.224 eV/atom. The value obtained for the total moment is 0.0 μB/f.u.



The following is a DFT calculation (PBE) of an optimized crystal structure of HfSc3Os.

Cell: 4.890 4.890 4.890 Å, 90.00 90.00 90.00°
Fractional coordinates of all 5 atoms:
Sc 0.500 0.000 0.000
Sc 0.000 0.000 0.500
Sc 0.000 0.500 0.000
Hf 0.000 0.000 0.000
Os 0.500 0.500 0.500

Results
As for the volume: 23.39 Å³ per atom. As for the symmetry: Pm-3m. The value obtained for the offset from the most stable computed form is 1.259 eV/atom. The value obtained for the total moment is 0.0 μB/f.u. Its formation energy is 1.53 eV/atom.